The following is a DFT calculation (PBE) of an optimized crystal structure of DyZn2GaCu2.

POSCAR file:
```
DyZn2GaCu2
1.0
4.458 0.000 0.000
0.000 4.458 0.000
0.000 0.000 5.572
Cu Dy Ga Zn
2 1 1 2
Direct
0.500 0.000 0.000
0.000 0.500 0.000
0.000 0.000 0.500
0.000 0.000 0.000
0.500 0.500 0.267
0.500 0.500 0.733
```

## Properties
- energy relative to the elements (meV/atom) = -6
- space group = P4/mmm
- E (eV/f.u.) = -18.408
- Fermi-level density of states (states/eV/atom) = 0.56

The following is a DFT calculation (PBE) of an optimized crystal structure of DyZnGa2Cu5.

POSCAR file:
```
DyZnGa2Cu5
1.0
-0.874 -4.340 -1.004
3.249 -1.321 2.882
-4.839 -0.260 5.336
Zn Cu Ga Dy
1 5 2 1
Direct
0.000 0.000 0.000
0.500 0.000 0.270
0.000 0.500 0.270
0.000 0.500 0.730
0.500 0.000 0.730
0.500 0.500 0.500
0.500 0.500 0.165
0.500 0.500 0.835
0.000 0.000 0.500
```

## Properties
- energy relative to the elements (meV/atom) = 49
- space group = P4/mmm
- E (eV/f.u.) = -31.967
- Fermi-level density of states (states/eV/atom) = 0.36

The following is a DFT calculation (PBE) of an optimized crystal structure of DyZn6GaCu.

POSCAR file:
```
DyZn6GaCu
1.0
6.805 0.000 0.000
0.000 8.903 0.000
-3.403 -4.451 5.405
Zn Ga Dy Cu
12 2 2 2
Direct
0.005 0.755 0.010
0.576 0.826 0.151
0.424 0.174 0.849
0.066 0.386 0.749
0.934 0.137 0.251
0.995 0.245 0.990
0.934 0.614 0.251
0.317 0.614 0.251
0.683 0.386 0.749
0.066 0.863 0.749
0.683 0.863 0.749
0.317 0.137 0.251
0.000 0.000 0.500
0.500 0.000 0.500
0.300 0.550 0.599
0.700 0.450 0.401
0.500 0.000 0.000
0.500 0.500 0.000
```

## Properties
- energy relative to the elements (meV/atom) = -10
- space group = Imma
- E (eV/f.u.) = -19.457
- Fermi-level density of states (states/eV/atom) = 0.44